Record 1
Crystalline Nb3Mo2 at its relaxed geometry, computed with PBE.

DFT total energy (eV/atom): -9.9347
ΔE to the lowest computed polymorph (eV per atom): 0.5672

Lattice parameters (Å, degrees): 7.286 6.892 7.309 90.00 90.00 90.00
Positions (direct):
Nb  0.000  0.192  0.250
Nb  0.000  0.808  0.750
Nb  0.186  0.496  0.096
Nb  0.186  0.504  0.596
Nb  0.314  0.004  0.596
Nb  0.314  0.996  0.096
Nb  0.500  0.308  0.750
Nb  0.500  0.692  0.250
Nb  0.686  0.004  0.904
Nb  0.686  0.996  0.404
Nb  0.814  0.496  0.404
Nb  0.814  0.504  0.904
Mo  0.088  0.191  0.895
Mo  0.088  0.809  0.395
Mo  0.412  0.309  0.395
Mo  0.412  0.691  0.895
Mo  0.588  0.309  0.105
Mo  0.588  0.691  0.605
Mo  0.912  0.191  0.605
Mo  0.912  0.809  0.105

---

Record 2
Crystalline Nb3Mo5 at its relaxed geometry, computed with PBE.

DFT total energy (eV/atom): -10.6661
ΔE to the lowest computed polymorph (eV per atom): 0.0108

Lattice parameters (Å, degrees): 3.211 4.546 18.225 90.00 90.00 90.00
Positions (direct):
Nb  0.000  0.000  0.000
Nb  0.000  0.000  0.246
Nb  0.000  0.500  0.876
Nb  0.500  0.000  0.376
Nb  0.500  0.500  0.500
Nb  0.500  0.500  0.746
Mo  0.000  0.000  0.502
Mo  0.000  0.000  0.749
Mo  0.000  0.500  0.123
Mo  0.000  0.500  0.371
Mo  0.000  0.500  0.624
Mo  0.500  0.000  0.124
Mo  0.500  0.000  0.623
Mo  0.500  0.000  0.871
Mo  0.500  0.500  0.002
Mo  0.500  0.500  0.249

---

Record 3
Crystalline Nb13Mo3 at its relaxed geometry, computed with PBE.

DFT total energy (eV/atom): -10.2731

Lattice parameters (Å, degrees): 6.559 6.568 6.568 89.11 90.00 90.00
Positions (direct):
Nb  0.000  0.000  0.000
Nb  0.000  0.002  0.491
Nb  0.000  0.491  0.002
Nb  0.000  0.495  0.495
Nb  0.252  0.243  0.750
Nb  0.252  0.747  0.747
Nb  0.252  0.750  0.243
Nb  0.500  0.002  0.490
Nb  0.500  0.490  0.002
Nb  0.500  0.493  0.493
Nb  0.748  0.243  0.750
Nb  0.748  0.747  0.747
Nb  0.748  0.750  0.243
Mo  0.252  0.246  0.246
Mo  0.500  0.998  0.998
Mo  0.748  0.246  0.246

---

Record 4
Crystalline Nb6Mo5 at its relaxed geometry, computed with PBE.

DFT total energy (eV/atom): -10.2087

Lattice parameters (Å, degrees): 7.049 7.049 4.745 109.57 109.57 101.97
Positions (direct):
Nb  0.061  0.366  0.714
Nb  0.203  0.203  0.204
Nb  0.366  0.061  0.714
Nb  0.634  0.939  0.286
Nb  0.797  0.797  0.796
Nb  0.939  0.634  0.286
Mo  0.209  0.791  0.000
Mo  0.361  0.639  0.500
Mo  0.500  0.500  0.000
Mo  0.639  0.361  0.500
Mo  0.791  0.209  0.000

---

Record 5
Crystalline Nb5Mo at its relaxed geometry, computed with PBE.

DFT total energy (eV/atom): -10.2563
ΔE to the lowest computed polymorph (eV per atom): 0.0044

Lattice parameters (Å, degrees): 3.295 13.725 4.710 90.00 90.00 90.00
Positions (direct):
Nb  0.000  0.000  0.000
Nb  0.000  0.162  0.500
Nb  0.000  0.333  0.000
Nb  0.000  0.667  0.000
Nb  0.000  0.838  0.500
Nb  0.500  0.167  0.000
Nb  0.500  0.338  0.500
Nb  0.500  0.500  0.000
Nb  0.500  0.662  0.500
Nb  0.500  0.833  0.000
Mo  0.000  0.500  0.500
Mo  0.500  0.000  0.500

---

Record 6
Crystalline Nb8Mo at its relaxed geometry, computed with PBE.

DFT total energy (eV/atom): -10.2074

Lattice parameters (Å, degrees): 7.187 7.187 7.187 93.00 93.00 153.56
Positions (direct):
Nb  0.000  0.333  0.333
Nb  0.000  0.667  0.667
Nb  0.333  0.000  0.333
Nb  0.337  0.337  0.673
Nb  0.337  0.663  0.000
Nb  0.663  0.337  0.000
Nb  0.663  0.663  0.327
Nb  0.667  0.000  0.667
Mo  0.000  0.000  0.000

---

Record 7
Crystalline Nb3Mo2 at its relaxed geometry, computed with PBE.

DFT total energy (eV/atom): -10.5018
ΔE to the lowest computed polymorph (eV per atom): 0.0000

Lattice parameters (Å, degrees): 3.241 3.241 16.299 90.00 90.00 90.00
Positions (direct):
Nb  0.000  0.000  0.000
Nb  0.000  0.000  0.196
Nb  0.000  0.000  0.804
Nb  0.500  0.500  0.304
Nb  0.500  0.500  0.500
Nb  0.500  0.500  0.696
Mo  0.000  0.000  0.400
Mo  0.000  0.000  0.600
Mo  0.500  0.500  0.100
Mo  0.500  0.500  0.900

---

Record 8
Crystalline Nb2Mo at its relaxed geometry, computed with PBE.

DFT total energy (eV/atom): -10.4349
ΔE to the lowest computed polymorph (eV per atom): 0.0000

Lattice parameters (Å, degrees): 4.609 4.563 5.443 90.00 114.70 90.00
Positions (direct):
Nb  0.161  0.000  0.322
Nb  0.339  0.500  0.678
Nb  0.661  0.500  0.322
Nb  0.839  0.000  0.678
Mo  0.000  0.500  0.000
Mo  0.500  0.000  0.000

---

| no. | energy relative to the elements (eV/atom) |
| --- | --- |
| 1 | 0.44 |
| 2 | -0.12 |
| 3 | -0.06 |
| 4 | 0.21 |
| 5 | -0.06 |
| 6 | -0.05 |
| 7 | -0.13 |
| 8 | -0.11 |